Entry 1:
Density functional theory data (GGA-PBE) for a geometry-optimized SmMgIn2 structure.

The value obtained for the calculated volume is 99.65 Å³ per cell. As for the total magnetization: 0.003 μB per formula unit. Its final energy is -3.3661 eV/atom.

It has space group P4/mmm (No. 123), with a = 4.674 Å, b = 4.674 Å, c = 4.561 Å, α = 90.00°, β = 90.00° and γ = 90.00°. Symmetry generates all atoms from Sm at (0.000, 0.000, 0.000), Mg at (0.500, 0.500, 0.000) and In at (0.000, 0.500, 0.500).

---

Entry 2:
Density functional theory data (GGA-PBE) for a geometry-optimized HoTcAg structure.

The value obtained for the calculated volume is 278.08 Å³ per cell. As for the total magnetization: 1.617 μB per formula unit. Its final energy is -4.9113 eV/atom.

It has space group F-43m (No. 216), with a = 6.527 Å, b = 6.527 Å, c = 6.527 Å, α = 90.00°, β = 90.00° and γ = 90.00°. Symmetry generates all atoms from Ho at (0.000, 0.000, 0.000), Tc at (0.250, 0.250, 0.250) and Ag at (0.250, 0.250, 0.750).